The following is a DFT calculation (PBE) of an optimized crystal structure of Mn2Au2I7.

Structure (POSCAR):
```
Mn2Au2I7
1.0
10.422 -3.713 0.000
10.422 3.713 0.000
-1.441 0.000 5.373
Mn Au I
2 2 7
Cartesian
4.010 0.000 2.140
15.394 0.000 3.233
10.422 1.362 0.000
10.422 -1.362 0.000
6.055 1.768 1.731
1.838 0.000 0.347
13.349 1.768 3.642
9.702 0.000 2.687
6.055 -1.768 1.731
17.566 0.000 5.026
13.349 -1.768 3.642
```

Density of states at the Fermi level, states/eV/f.u.: 5.22
Formation energy (no corrections), meV per atom: -81